Here is crystalline HoMgCl at its relaxed geometry from the Alexandria database. Energies are from GGA-PBE.

Values from the calculation:
- raw total energy (eV/cell) = -38.9
- DOS at the Fermi energy (states/eV/f.u.) = 2.91
- M_tot (Bohr magnetons per cell) = 0.0
- formation energy (no corrections) (eV per formula unit) = -1.72

Cell: 17.577 3.454 5.983 Å, 90.00 90.00 90.00°
Space group Amm2 (No. 38)
Asymmetric unit:
Ho 0.157 0.000 0.000 [4 per cell]
Mg 0.000 0.000 0.665 [2 per cell]
Mg 0.500 0.000 0.882 [2 per cell]
Cl 0.411 0.000 0.548 [4 per cell]

---

Here is crystalline K2TbAgBr6 at its relaxed geometry from the Alexandria database. Energies are from GGA-PBE.

Values from the calculation:
- raw total energy (eV/cell) = -70.0
- DOS at the Fermi energy (states/eV/f.u.) = 0.00
- M_tot (Bohr magnetons per cell) = 0.0
- formation energy (no corrections) (eV per formula unit) = -15.30

Cell: 7.668 8.080 13.215 Å, 90.00 124.91 90.00°
Space group P2_1/c (No. 14)
Asymmetric unit:
K 0.222 0.078 0.248 [4 per cell]
Tb 0.500 0.000 0.000 [2 per cell]
Ag 0.000 0.000 0.500 [2 per cell]
Br 0.150 0.191 0.949 [4 per cell]
Br 0.263 0.706 0.949 [4 per cell]
Br 0.353 0.025 0.750 [4 per cell]